1.
Here is crystalline Tm2AlP at its relaxed geometry from Alexandria. Energies are from PBE-GGA.

The structure in POSCAR format:
```
Tm2AlP
1.0
-3.362 -1.150 1.366
-0.816 -3.714 0.169
1.566 -1.952 7.514
P Tm Al
1 2 1
Direct
0.000 0.000 0.000
0.263 0.263 0.212
0.737 0.737 0.788
0.500 0.500 0.500
```

Results
The value obtained for the formation energy is -0.85 eV/atom. As for the final energy: -21.50 eV for the cell shown. The calculation puts the volume at 95 Å³/f.u. The calculation puts the size of the total moment at 0.000 μB/f.u.

2.
Here is crystalline LaRe2W at its relaxed geometry from Alexandria. Energies are from PBE-GGA.

The structure in POSCAR format:
```
LaRe2W
1.0
-2.129 -3.746 1.845
-4.580 0.156 0.985
-3.036 -2.475 -2.574
Re W La
2 1 1
Direct
0.250 0.250 0.250
0.750 0.750 0.750
0.500 0.500 0.500
0.000 0.000 0.000
```

Results
The value obtained for the formation energy is 0.58 eV/atom. As for the final energy: -40.46 eV for the cell shown. The calculation puts the volume at 73 Å³/f.u. The calculation puts the size of the total moment at 0.000 μB/f.u. As for the energy above the most stable polymorph in this dataset: 0.2419 eV/atom.

3.
Here is crystalline LaYSc2Cd4 at its relaxed geometry from Alexandria. Energies are from PBE-GGA.

The structure in POSCAR format:
```
LaYSc2Cd4
1.0
5.230 0.000 0.000
2.615 4.530 0.000
2.615 1.510 8.585
La Y Sc Cd
1 1 2 4
Direct
0.000 0.000 0.000
0.500 0.500 0.500
0.751 0.751 0.747
0.249 0.249 0.253
0.378 0.378 0.865
0.873 0.873 0.382
0.127 0.127 0.618
0.622 0.622 0.135
```

Results
The value obtained for the formation energy is -0.28 eV/atom. As for the final energy: -29.99 eV for the cell shown. The calculation puts the volume at 203 Å³/f.u. The calculation puts the size of the total moment at 0.634 μB/f.u.

4.
Here is crystalline VGaAu at its relaxed geometry from Alexandria. Energies are from PBE-GGA.

The structure in POSCAR format:
```
VGaAu
1.0
4.101 0.000 0.005
0.000 3.478 0.000
-1.386 0.000 6.569
Au Ga V
2 2 2
Direct
0.161 0.250 0.171
0.839 0.750 0.829
0.338 0.250 0.802
0.662 0.750 0.198
0.754 0.250 0.503
0.246 0.750 0.497
```

Results
The value obtained for the formation energy is -0.14 eV/atom. As for the final energy: -31.70 eV for the cell shown. The calculation puts the volume at 47 Å³/f.u. The calculation puts the size of the total moment at 0.000 μB/f.u.

5.
Here is crystalline TiMnNi6 at its relaxed geometry from Alexandria. Energies are from PBE-GGA.

The structure in POSCAR format:
```
TiMnNi6
1.0
-3.211 -1.483 0.564
2.122 -3.410 3.114
-0.752 3.125 3.937
Ti Mn Ni
1 1 6
Direct
0.500 0.000 0.000
0.500 0.500 0.500
0.000 0.749 0.251
0.000 0.251 0.749
0.000 0.749 0.749
0.000 0.251 0.251
0.500 0.500 0.000
0.500 0.000 0.500
```

Results
The value obtained for the formation energy is -0.28 eV/atom. As for the final energy: -54.02 eV for the cell shown. The calculation puts the volume at 93 Å³/f.u. The calculation puts the size of the total moment at 4.839 μB/f.u. As for the energy above the most stable polymorph in this dataset: 0.0000 eV/atom.

6.
Here is crystalline NaAs2WSe at its relaxed geometry from Alexandria. Energies are from PBE-GGA.

The structure in POSCAR format:
```
NaAs2WSe
1.0
4.772 0.000 0.000
0.000 4.772 0.000
0.000 0.000 4.826
Na As Se W
1 2 1 1
Direct
0.000 0.000 0.000
0.000 0.500 0.000
0.500 0.000 0.000
0.000 0.000 0.500
0.500 0.500 0.500
```

Results
As for the final energy: -17.85 eV for the cell shown. The calculation puts the volume at 110 Å³/f.u. The calculation puts the size of the total moment at 0.000 μB/f.u. As for the energy above the most stable polymorph in this dataset: 1.7473 eV/atom.

7.
Here is crystalline RbLa2F at its relaxed geometry from Alexandria. Energies are from PBE-GGA.

The structure in POSCAR format:
```
RbLa2F
1.0
8.073 0.000 0.000
0.000 8.073 0.000
4.037 4.037 4.868
F Rb La
2 2 4
Direct
0.500 0.500 0.000
0.250 0.750 0.500
0.000 0.000 0.000
0.750 0.250 0.500
0.469 0.125 0.250
0.281 0.625 0.250
0.375 0.531 0.750
0.875 0.719 0.750
```

Results
As for the final energy: -31.92 eV for the cell shown. The calculation puts the volume at 159 Å³/f.u. The calculation puts the size of the total moment at 0.000 μB/f.u. As for the energy above the most stable polymorph in this dataset: 0.0000 eV/atom.

8.
Here is crystalline RbSeSBr2 at its relaxed geometry from Alexandria. Energies are from PBE-GGA.

The structure in POSCAR format:
```
RbSeSBr2
1.0
-6.334 -1.059 1.190
1.104 -6.435 0.146
1.193 0.355 6.664
S Se Br Rb
1 1 2 1
Direct
0.500 0.500 0.500
0.000 0.000 0.500
0.000 0.500 0.000
0.500 0.000 0.000
0.000 0.000 0.000
```

Results
As for the final energy: -8.79 eV for the cell shown. The calculation puts the volume at 289 Å³/f.u. The calculation puts the size of the total moment at 5.018 μB/f.u. As for the energy above the most stable polymorph in this dataset: 1.0163 eV/atom.

9.
Here is crystalline Sm2In8Co at its relaxed geometry from Alexandria. Energies are from PBE-GGA.

The structure in POSCAR format:
```
Sm2In8Co
1.0
4.626 0.000 0.000
0.000 4.626 0.000
0.000 0.000 12.284
Sm In Co
2 8 1
Direct
0.000 0.000 0.694
0.000 0.000 0.306
0.500 0.000 0.883
0.000 0.500 0.883
0.500 0.000 0.117
0.000 0.500 0.117
0.500 0.000 0.500
0.000 0.500 0.500
0.500 0.500 0.692
0.500 0.500 0.308
0.000 0.000 0.000
```

Results
The value obtained for the formation energy is -0.33 eV/atom. As for the final energy: -42.11 eV for the cell shown. The calculation puts the volume at 263 Å³/f.u. The calculation puts the size of the total moment at 0.000 μB/f.u.

10.
Here is crystalline Y2ScMoPd at its relaxed geometry from Alexandria. Energies are from PBE-GGA.

The structure in POSCAR format:
```
Y2ScMoPd
1.0
5.428 0.000 0.000
0.000 4.596 0.000
0.000 0.000 5.428
Y Sc Mo Pd
2 1 1 1
Direct
0.000 0.000 0.500
0.500 0.000 0.000
0.000 0.000 0.000
0.500 0.500 0.500
0.000 0.500 0.000
```

Results
The value obtained for the formation energy is 1.09 eV/atom. As for the final energy: -29.86 eV for the cell shown. The calculation puts the volume at 135 Å³/f.u. The calculation puts the size of the total moment at 3.391 μB/f.u.

11.
Here is crystalline Tm5Sc2Tl4 at its relaxed geometry from Alexandria. Energies are from PBE-GGA.

The structure in POSCAR format:
```
Tm5Sc2Tl4
1.0
3.369 0.000 0.000
0.000 8.596 0.000
-1.685 -4.298 13.624
Tm Sc Tl
5 2 4
Direct
0.199 0.395 0.398
0.801 0.605 0.602
0.199 0.003 0.398
0.500 0.000 0.000
0.801 0.997 0.602
0.096 0.096 0.192
0.904 0.904 0.808
0.695 0.695 0.389
0.000 0.319 0.000
0.305 0.305 0.611
0.000 0.681 0.000
```

Results
The value obtained for the formation energy is 0.37 eV/atom. As for the final energy: -40.43 eV for the cell shown. The calculation puts the volume at 395 Å³/f.u. The calculation puts the size of the total moment at 0.000 μB/f.u.

12.
Here is crystalline AcTlI at its relaxed geometry from Alexandria. Energies are from PBE-GGA.

The structure in POSCAR format:
```
AcTlI
1.0
-1.669 -1.565 -4.324
3.061 -2.093 -3.191
-1.957 -12.292 2.437
Ac Tl I
2 2 2
Direct
0.438 0.438 0.685
0.562 0.562 0.315
0.152 0.152 0.545
0.848 0.848 0.455
0.718 0.718 0.845
0.282 0.282 0.155
```

Results
As for the final energy: -21.47 eV for the cell shown. The calculation puts the volume at 128 Å³/f.u. The calculation puts the size of the total moment at 0.000 μB/f.u.